<P>
A geometry-optimized ReIrRu structure, computed with PBE.

crystal system	tetragonal
space-group type	I4mm
calculated density	18.33	g cm⁻³
DOS at the Fermi energy	3.39	states/eV per cell

Cell: 6.073 6.073 2.748 Å, 76.93 76.93 26.15°
Fractional positions:
Re: 0.331 0.331 0.669
Ru: 0.672 0.672 0.328
Ir: 0.997 0.997 0.003

---

<Q>
A geometry-optimized ReIrRu structure, computed with PBE.

crystal system	hexagonal
space-group type	P-6m2
calculated density	17.98	g cm⁻³
DOS at the Fermi energy	3.85	states/eV per cell

Cell: 4.320 4.320 2.740 Å, 90.00 90.00 120.00°
Fractional positions:
Ru: 0.667 0.333 0.500
Ir: 0.000 0.000 0.000
Re: 0.333 0.667 0.500

---

<R>
A geometry-optimized ReIrRu structure, computed with PBE.

crystal system	orthorhombic
space-group type	Pnma
calculated density	18.38	g cm⁻³
DOS at the Fermi energy	12.59	states/eV per cell

Cell: 3.864 5.460 8.212 Å, 90.00 90.00 90.00°
Fractional positions:
Ir: 0.750 0.874 0.586
Ir: 0.250 0.126 0.414
Ir: 0.750 0.374 0.914
Ir: 0.250 0.626 0.086
Re: 0.250 0.119 0.081
Re: 0.750 0.381 0.581
Re: 0.750 0.881 0.919
Re: 0.250 0.619 0.419
Ru: 0.750 0.878 0.246
Ru: 0.250 0.622 0.746
Ru: 0.250 0.122 0.754
Ru: 0.750 0.378 0.254

---

Verdict on stability: <Q> comes out at the bottom.

---

<P>
A geometry-optimized ReIr4Ru structure, computed with PBE.

crystal system	cubic
space-group type	F-43m
calculated density	18.90	g cm⁻³
DOS at the Fermi energy	8.32	states/eV per cell

Cell: 5.082 5.082 5.082 Å, 60.00 60.00 60.00°
Fractional positions:
Ir: 0.625 0.625 0.125
Ir: 0.125 0.625 0.625
Ir: 0.625 0.125 0.625
Ir: 0.625 0.625 0.625
Re: 0.250 0.250 0.250
Ru: 0.000 0.000 0.000

---

<Q>
A geometry-optimized ReIr4Ru structure, computed with PBE.

crystal system	orthorhombic
space-group type	Pmmm
calculated density	20.22	g cm⁻³
DOS at the Fermi energy	6.31	states/eV per cell

Cell: 2.731 3.867 8.214 Å, 90.00 90.00 90.00°
Fractional positions:
Ir: 0.500 0.000 0.834
Ir: 0.000 0.500 0.335
Ir: 0.500 0.000 0.166
Ir: 0.000 0.500 0.665
Ru: 0.000 0.500 0.000
Re: 0.500 0.000 0.500

---

Verdict on stability: <P> comes out at the bottom.

---

<P>
A geometry-optimized ReIrRu3 structure, computed with PBE.

crystal system	triclinic
space-group type	P1
calculated density	15.52	g cm⁻³
DOS at the Fermi energy	9.18	states/eV per cell

Cell: 6.853 5.110 6.838 Å, 72.76 140.08 107.17°
Fractional positions:
Re: 0.101 0.423 0.215
Re: 0.718 0.676 0.605
Ru: 0.280 0.925 0.396
Ru: 0.679 0.986 0.989
Ru: 0.899 0.176 0.783
Ru: 0.088 0.047 0.589
Ru: 0.323 0.616 0.012
Ru: 0.911 0.553 0.410
Ir: 0.508 0.483 0.819
Ir: 0.491 0.114 0.181

---

<Q>
A geometry-optimized ReIrRu3 structure, computed with PBE.

crystal system	cubic
space-group type	Pm-3m
calculated density	11.63	g cm⁻³
DOS at the Fermi energy	8.18	states/eV per cell

Cell: 4.600 4.600 4.600 Å, 90.00 90.00 90.00°
Each line ends with the local moment (μB).
Fractional positions:
Ru: 0.000 0.000 0.500  0.60
Ru: 0.000 0.500 0.000  0.66
Ru: 0.500 0.000 0.000  0.68
Re: 0.000 0.000 0.000  -0.09
Ir: 0.500 0.500 0.500  0.72

---

Verdict on stability: <Q> comes out at the bottom.

---

<P>
A geometry-optimized Re3IrRu structure, computed with PBE.

crystal system	cubic
space-group type	Pm-3m
calculated density	14.78	g cm⁻³
DOS at the Fermi energy	7.62	states/eV per cell

Cell: 4.575 4.575 4.575 Å, 90.00 90.00 90.00°
Fractional positions:
Re: 0.500 0.000 0.000
Re: 0.000 0.500 0.000
Re: 0.000 0.000 0.500
Ru: 0.000 0.000 0.000
Ir: 0.500 0.500 0.500

---

<Q>
A geometry-optimized Re3IrRu structure, computed with PBE.

crystal system	triclinic
space-group type	P-1
calculated density	19.12	g cm⁻³
DOS at the Fermi energy	7.81	states/eV per cell

Cell: 2.751 6.510 10.727 Å, 93.31 89.97 50.56°
Fractional positions:
Re: 0.162 0.839 0.534
Re: 0.567 0.903 0.958
Re: 0.461 0.640 0.761
Re: 0.353 0.379 0.562
Re: 0.948 0.315 0.138
Re: 0.054 0.578 0.335
Ru: 0.239 0.122 0.368
Ru: 0.276 0.096 0.727
Ir: 0.383 0.357 0.924
Ir: 0.132 0.860 0.172

---

Verdict on stability: <P> comes out at the bottom.

---

<P>
A geometry-optimized ReIr3Ru2 structure, computed with PBE.

crystal system	monoclinic
space-group type	C2/m
calculated density	17.91	g cm⁻³
DOS at the Fermi energy	12.36	states/eV per cell

Cell: 2.735 7.870 8.959 Å, 109.91 98.78 90.00°
Fractional positions:
Ru: 0.303 0.622 0.607
Ru: 0.065 0.134 0.130
Ru: 0.697 0.378 0.393
Ru: 0.935 0.866 0.870
Ir: 0.562 0.430 0.124
Ir: 0.072 0.753 0.144
Ir: 0.438 0.570 0.876
Ir: 0.704 0.737 0.408
Ir: 0.928 0.247 0.856
Ir: 0.296 0.263 0.592
Re: 0.329 0.962 0.658
Re: 0.671 0.038 0.342

---

<Q>
A geometry-optimized ReIr3Ru2 structure, computed with PBE.

crystal system	monoclinic
space-group type	P2_1/m
calculated density	18.58	g cm⁻³
DOS at the Fermi energy	10.17	states/eV per cell

Cell: 3.861 5.443 8.206 Å, 90.20 90.00 90.00°
Fractional positions:
Ru: 0.250 0.371 0.412
Ru: 0.750 0.123 0.920
Ru: 0.750 0.629 0.588
Ru: 0.250 0.877 0.080
Re: 0.750 0.131 0.249
Re: 0.250 0.869 0.751
Ir: 0.750 0.625 0.252
Ir: 0.250 0.375 0.748
Ir: 0.750 0.125 0.582
Ir: 0.250 0.875 0.418
Ir: 0.750 0.632 0.911
Ir: 0.250 0.368 0.089

---

Verdict on stability: <P> comes out at the bottom.

---

<P>
A geometry-optimized ReIr6Ru structure, computed with PBE.

crystal system	trigonal
space-group type	R-3m
calculated density	17.29	g cm⁻³
DOS at the Fermi energy	12.16	states/eV per cell

Cell: 5.196 5.196 5.196 Å, 84.35 84.35 84.35°
Each line ends with the local moment (μB).
Fractional positions:
Ir: 0.158 0.540 0.158  0.12
Ir: 0.540 0.158 0.158  0.12
Ir: 0.842 0.842 0.460  0.12
Ir: 0.460 0.842 0.842  0.12
Ir: 0.158 0.158 0.540  0.12
Ir: 0.842 0.460 0.842  0.12
Re: 0.000 0.000 0.000  -0.08
Ru: 0.500 0.500 0.500  1.55

---

<Q>
A geometry-optimized ReIr6Ru structure, computed with PBE.

crystal system	tetragonal
space-group type	P4/mmm
calculated density	20.66	g cm⁻³
DOS at the Fermi energy	10.89	states/eV per cell

Cell: 3.871 3.871 7.729 Å, 90.00 90.00 90.00°
Fractional positions:
Ir: 0.500 0.500 0.500
Ir: 0.000 0.500 0.251
Ir: 0.500 0.500 0.000
Ir: 0.500 0.000 0.749
Ir: 0.500 0.000 0.251
Ir: 0.000 0.500 0.749
Ru: 0.000 0.000 0.000
Re: 0.000 0.000 0.500

---

Verdict on stability: <P> comes out at the bottom.

---

<P>
A geometry-optimized ReIr3Ru structure, computed with PBE.

crystal system	triclinic
space-group type	P-1
calculated density	19.18	g cm⁻³
DOS at the Fermi energy	9.98	states/eV per cell

Cell: 4.688 5.486 7.612 Å, 122.69 114.22 72.74°
Fractional positions:
Ru: 0.821 0.269 0.645
Ru: 0.223 0.309 0.509
Ir: 0.216 0.820 0.508
Ir: 0.828 0.759 0.646
Ir: 0.562 0.302 0.274
Ir: 0.015 0.554 0.077
Ir: 0.482 0.276 0.881
Ir: 0.029 0.025 0.077
Re: 0.484 0.788 0.886
Re: 0.560 0.791 0.269

---

<Q>
A geometry-optimized ReIr3Ru structure, computed with PBE.

crystal system	cubic
space-group type	Pm-3m
calculated density	14.46	g cm⁻³
DOS at the Fermi energy	6.96	states/eV per cell

Cell: 4.630 4.630 4.630 Å, 90.00 90.00 90.00°
Each line ends with the local moment (μB).
Fractional positions:
Ir: 0.500 0.000 0.000  0.16
Ir: 0.000 0.500 0.000  0.07
Ir: 0.000 0.000 0.500  -0.04
Re: 0.500 0.500 0.500  2.62
Ru: 0.000 0.000 0.000  0.02

---

<R>
A geometry-optimized ReIr3Ru structure, computed with PBE.

crystal system	cubic
space-group type	Pm-3m
calculated density	13.84	g cm⁻³
DOS at the Fermi energy	6.48	states/eV per cell

Cell: 4.698 4.698 4.698 Å, 90.00 90.00 90.00°
Each line ends with the local moment (μB).
Fractional positions:
Ru: 0.500 0.500 0.500  2.38
Ir: 0.000 0.000 0.500  0.04
Ir: 0.500 0.000 0.000  0.30
Ir: 0.000 0.500 0.000  0.11
Re: 0.000 0.000 0.000  0.04

---

<S>
A geometry-optimized ReIr3Ru structure, computed with PBE.

crystal system	monoclinic
space-group type	C2/m
calculated density	18.78	g cm⁻³
DOS at the Fermi energy	10.51	states/eV per cell

Cell: 4.397 5.316 7.811 Å, 68.92 90.00 114.43°
Fractional positions:
Ir: 0.959 0.919 0.355
Ir: 0.288 0.576 0.300
Ir: 0.586 0.172 0.100
Ir: 0.712 0.424 0.700
Ir: 0.041 0.081 0.645
Ir: 0.414 0.828 0.900
Re: 0.640 0.280 0.412
Re: 0.360 0.720 0.588
Ru: 0.849 0.697 0.075
Ru: 0.151 0.303 0.925

---

Verdict on stability: <Q> comes out at the bottom.

---

<P>
A geometry-optimized ReIr4Ru2 structure, computed with PBE.

crystal system	orthorhombic
space-group type	Pbam
calculated density	17.46	g cm⁻³
DOS at the Fermi energy	11.96	states/eV per cell

Cell: 3.753 5.377 10.909 Å, 90.00 90.00 90.00°
Fractional positions:
Ru: 0.500 0.237 0.116
Ru: 0.500 0.737 0.384
Ru: 0.500 0.263 0.616
Ru: 0.500 0.763 0.884
Re: 0.000 0.000 0.500
Re: 0.000 0.500 0.000
Ir: 0.000 0.485 0.242
Ir: 0.500 0.757 0.623
Ir: 0.000 0.985 0.258
Ir: 0.000 0.015 0.742
Ir: 0.500 0.257 0.877
Ir: 0.500 0.243 0.377
Ir: 0.500 0.743 0.123
Ir: 0.000 0.515 0.758

---

<Q>
A geometry-optimized ReIr4Ru2 structure, computed with PBE.

crystal system	tetragonal
space-group type	I-42d
calculated density	17.48	g cm⁻³
DOS at the Fermi energy	16.81	states/eV per cell

Cell: 6.586 6.586 6.586 Å, 109.58 109.25 109.58°
Fractional positions:
Ru: 0.875 0.127 0.502
Ru: 0.498 0.373 0.625
Ru: 0.252 0.627 0.125
Ru: 0.375 0.873 0.748
Ir: 0.944 0.577 0.698
Ir: 0.806 0.253 0.883
Ir: 0.629 0.747 0.552
Ir: 0.117 0.923 0.371
Ir: 0.633 0.753 0.056
Ir: 0.448 0.077 0.194
Ir: 0.302 0.247 0.879
Ir: 0.121 0.423 0.367
Re: 0.000 0.000 0.000
Re: 0.750 0.500 0.250

---

Verdict on stability: <Q> comes out at the bottom.

---

<P>
A geometry-optimized ReIr6Ru2 structure, computed with PBE.

crystal system	monoclinic
space-group type	C2/m
calculated density	19.74	g cm⁻³
DOS at the Fermi energy	8.54	states/eV per cell

Cell: 3.860 4.729 8.196 Å, 73.38 76.38 65.91°
Fractional positions:
Ru: 0.335 0.608 0.721
Ru: 0.665 0.392 0.279
Ir: 0.335 0.279 0.052
Ir: 0.001 0.827 0.172
Ir: 0.334 0.940 0.392
Ir: 0.999 0.173 0.828
Ir: 0.665 0.721 0.948
Ir: 0.666 0.060 0.608
Re: 0.000 0.500 0.500

---

<Q>
A geometry-optimized ReIr6Ru2 structure, computed with PBE.

crystal system	monoclinic
space-group type	C2/c
calculated density	19.00	g cm⁻³
DOS at the Fermi energy	16.30	states/eV per cell

Cell: 5.055 7.482 7.482 Å, 105.65 95.06 95.06°
Fractional positions:
Ir: 0.181 0.579 0.925
Ir: 0.685 0.731 0.971
Ir: 0.315 0.269 0.029
Ir: 0.485 0.637 0.265
Ir: 0.319 0.075 0.421
Ir: 0.815 0.029 0.269
Ir: 0.015 0.735 0.363
Ir: 0.515 0.363 0.735
Ir: 0.681 0.925 0.579
Ir: 0.985 0.265 0.637
Ir: 0.819 0.421 0.075
Ir: 0.185 0.971 0.731
Re: 0.250 0.929 0.071
Re: 0.750 0.071 0.929
Ru: 0.873 0.619 0.650
Ru: 0.373 0.650 0.619
Ru: 0.127 0.381 0.350
Ru: 0.627 0.350 0.381

---

Verdict on stability: <Q> comes out at the bottom.

---

<P>
A geometry-optimized ReIrRu4 structure, computed with PBE.

crystal system	monoclinic
space-group type	Pm
calculated density	15.32	g cm⁻³
DOS at the Fermi energy	5.07	states/eV per cell

Cell: 2.741 4.333 7.276 Å, 90.00 101.02 90.00°
Fractional positions:
Ru: 0.948 0.003 0.139
Ru: 0.282 0.003 0.810
Ru: 0.726 0.503 0.700
Ru: 0.058 0.503 0.363
Re: 0.390 0.503 0.025
Ir: 0.615 0.003 0.474

---

<Q>
A geometry-optimized ReIrRu4 structure, computed with PBE.

crystal system	cubic
space-group type	F-43m
calculated density	14.63	g cm⁻³
DOS at the Fermi energy	10.66	states/eV per cell

Cell: 5.009 5.009 5.009 Å, 60.00 60.00 60.00°
Fractional positions:
Ru: 0.376 0.873 0.376
Ru: 0.873 0.376 0.376
Ru: 0.376 0.376 0.873
Ru: 0.376 0.376 0.376
Ir: 0.750 0.750 0.750
Re: 0.000 0.000 0.000

---

Verdict on stability: <Q> comes out at the bottom.